1.
VASP calculation (PBE) on a relaxed Ba2CrBiPd crystal.

```
5
Lattice="6.358 0.000 0.000 0.000 6.358 0.000 0.000 0.000 4.708" Properties=species:S:1:pos:R:3 pbc="T T T"
Ba 0.000 3.179 0.000
Ba 3.179 0.000 0.000
Cr 0.000 0.000 0.000
Bi 3.179 3.179 2.354
Pd 0.000 0.000 2.354
```

Computed properties:
Fermi-level density of states: 4.71 states/eV/f.u.
E_form: 0.78 eV per formula unit
total energy: -4.352 eV/atom

2.
VASP calculation (PBE) on a relaxed BaCr2ReBi crystal.

```
5
Lattice="5.018 0.000 0.000 0.000 5.018 0.000 0.000 0.000 5.977" Properties=species:S:1:pos:R:3 pbc="T T T"
Ba 0.000 0.000 0.000
Cr 0.000 2.509 0.000
Cr 2.509 0.000 0.000
Re 2.509 2.509 2.989
Bi 0.000 0.000 2.989
```

Computed properties:
Fermi-level density of states: 7.98 states/eV/f.u.
E_form: 15.27 eV per formula unit
total energy: -4.445 eV/atom

3.
VASP calculation (PBE) on a relaxed BaCrBiRh2 crystal.

```
5
Lattice="4.692 0.000 0.000 0.000 4.692 0.000 0.000 0.000 5.722" Properties=species:S:1:pos:R:3 pbc="T T T"
Ba 0.000 0.000 0.000
Cr 0.000 0.000 2.861
Bi 2.346 2.346 0.000
Rh 0.000 2.346 2.861
Rh 2.346 0.000 2.861
```

Computed properties:
Fermi-level density of states: 5.97 states/eV/f.u.
E_form: 3.51 eV per formula unit
E above lowest polymorph: 0 meV per atom
total energy: -5.323 eV/atom

Number 1 is which compound?
Ba2CrBiPd